Below is a relaxed structure of Li2V2Cl, with properties calculated at the PBE level.

## Properties
formation energy (no corrections): 310 meV/atom
calculated total energy: -4.4722 eV per atom
SG: P4/mbm, No. 127
energy above the most stable polymorph in this dataset: 0 meV per atom
Fermi-level density of states: 0.99 states/eV per atom

a b c (Å): 5.9101 5.9101 4.7346
angles (deg): 90.00 90.00 90.00
Atoms (fractional coordinates):
V 0.3546 0.8546 0.0000
V 0.8546 0.6454 0.0000
V 0.6454 0.1454 0.0000
V 0.1454 0.3546 0.0000
Li 0.1522 0.6522 0.5000
Li 0.6522 0.8478 0.5000
Li 0.8478 0.3478 0.5000
Li 0.3478 0.1522 0.5000
Cl 0.0000 0.0000 0.0000
Cl 0.5000 0.5000 0.0000